Entry 1:
A relaxed AlCu6Sn crystal. Source: Alexandria via LeMat-Bulk, functional PBE.

ΔH_f (0 K) = -0.059 eV per atom
Magnetization = 0.000 μB/f.u.

The structure in extended XYZ format:
```
8
Lattice="4.2081 0.0000 0.0000 0.0000 2.7056 4.7831 0.0000 -2.7056 4.7831" Properties=species:S:1:pos:R:3 pbc="T T T"
Al 0.0000 0.0000 0.0000
Cu 0.0000 -1.2689 2.4456
Cu 0.0000 0.0000 4.6626
Cu 0.0000 1.2689 2.4456
Cu 2.1040 -1.3617 3.9685
Cu 2.1040 0.0000 1.5668
Cu 2.1040 1.3617 3.9685
Sn 2.1040 0.0000 6.3511
```


Entry 2:
A relaxed Pm6Rh3Au crystal. Source: Alexandria via LeMat-Bulk, functional PBE.

ΔH_f (0 K) = -0.612 eV per atom
Magnetization = 0.000 μB/f.u.

The structure in extended XYZ format:
```
20
Lattice="11.9130 0.0000 0.0000 0.0000 4.1325 0.0000 -3.8362 0.0000 11.3240" Properties=species:S:1:pos:R:3 pbc="T T T"
Pm -0.9272 1.0331 4.2448
Pm -2.4690 3.0994 10.8737
Pm -0.2099 1.0331 8.8560
Pm 2.1288 3.0994 3.1042
Pm 2.5595 1.0331 6.3755
Pm 4.9467 1.0331 1.2462
Pm 3.1301 3.0994 10.0778
Pm 5.5173 3.0994 4.9484
Pm 5.9480 1.0331 8.2198
Pm 8.2867 3.0994 2.4680
Pm 10.5458 1.0331 0.4503
Pm 9.0040 3.0994 7.0791
Rh -0.6552 3.0994 2.2318
Rh 0.3133 3.0994 10.7778
Rh 3.8243 1.0331 3.8758
Rh 4.2525 3.0994 7.4482
Rh 7.7636 1.0331 0.5462
Rh 8.7320 1.0331 9.0922
Au 0.1639 3.0994 6.3719
Au 7.9129 1.0331 4.9521
```


Question: What is the ΔH_f (0 K) in the second record?
Answer: -0.612 eV per atom